Entry from Alexandria via LeMat-Bulk: crystalline LaY2Cu at its relaxed geometry (GGA-PBE).

abc: 8.5774 8.5774 6.8793
angles: 51.43 51.43 90.00
Fractional coordinates of all 8 atoms:
Y (0.5534, 0.1250, 0.2500)
Y (0.1966, 0.6250, 0.2500)
Y (0.3750, 0.4466, 0.7500)
Y (0.8750, 0.8034, 0.7500)
Cu (0.5000, 0.5000, 0.0000)
Cu (0.2500, 0.7500, 0.5000)
La (0.0000, 0.0000, 0.0000)
La (0.7500, 0.2500, 0.5000)

Results
Offset from the most stable computed form = 173 meV per atom
Electronic total energy = -5.406 eV/atom
Formation enthalpy at 0 K = 0.3 eV per formula unit


Entry from Alexandria via LeMat-Bulk: crystalline LaY2Cu at its relaxed geometry (GGA-PBE).

abc: 6.5503 6.5503 5.5167
angles: 65.15 65.15 32.33
Fractional coordinates of all 4 atoms:
Y (0.0453, 0.0453, 0.9547)
Y (0.4547, 0.4547, 0.5453)
Cu (0.7500, 0.7500, 0.7500)
La (0.2500, 0.2500, 0.2500)

Results
Offset from the most stable computed form = 48 meV per atom
Electronic total energy = -5.532 eV/atom
Formation enthalpy at 0 K = -0.2 eV per formula unit


Entry from Alexandria via LeMat-Bulk: crystalline LaY2Cu at its relaxed geometry (GGA-PBE).

abc: 6.1365 6.1365 6.1365
angles: 135.79 135.79 64.30
Fractional coordinates of all 4 atoms:
Cu (0.2500, 0.7500, 0.5000)
La (0.7500, 0.2500, 0.5000)
Y (0.0000, 0.0000, 0.0000)
Y (0.5000, 0.5000, 0.0000)

Results
Offset from the most stable computed form = 283 meV per atom
Electronic total energy = -5.297 eV/atom
Formation enthalpy at 0 K = 0.8 eV per formula unit


- Look up the electronic total energy of the first one.
  -5.406 eV/atom


- Which of these has the lowest formation enthalpy at 0 K?
  number 2


- Among the records above, which one has the highest formation enthalpy at 0 K?
  number 3


- Which of these has the highest offset from the most stable computed form?
  number 3